HfGeTeW2 | PBE | optimized geometry

abc: 4.667 4.667 5.158
angles: 90.00 90.00 90.00
Space group P4/mmm (No. 123)
One atom of each set of equivalent atoms:
Hf (0.000, 0.000, 0.000) x1
Ge (0.500, 0.500, 0.500) x1
Te (0.500, 0.500, 0.000) x1
W (0.000, 0.500, 0.500) x2

As for the total magnetization: 0.0000 μB/atom. As for the volume: 112 Å³ per cell. The calculation puts the density of states at the Fermi level at 2.49 states/eV/cell. Its uncorrected formation energy is 7.69 eV/f.u.